Entry 1:
# Li4CdPb, single point on PBEsol structure, DFT SCAN
# Size of the total moment: 0.000 μB/f.u.
# Calculated volume: 18.6 A^3/atom
# Mass density: 5.2 g/cm³
data_Li4CdPb
_cell_length_a 7.6438
_cell_length_b 7.6438
_cell_length_c 7.6438
_cell_angle_alpha 90.00
_cell_angle_beta 90.00
_cell_angle_gamma 90.00
_symmetry_space_group_name_H-M 'F -4 3 m'
_symmetry_Int_Tables_number 216
_symmetry_space_group_name_Hall 'F -4 2 3'
loop_
_atom_site_label
_atom_site_type_symbol
_atom_site_fract_x
_atom_site_fract_y
_atom_site_fract_z
_atom_site_occupancy
Li1 Li 0.1252 0.1252 0.1252 1
Cd1 Cd 0.2500 0.2500 0.7500 1
Pb1 Pb 0.0000 0.0000 0.5000 1


Entry 2:
# Li2Cd2Pb, single point on PBEsol structure, DFT SCAN
# Size of the total moment: 0.000 μB/f.u.
# Calculated volume: 20.7 A^3/atom
# Mass density: 7.1 g/cm³
data_Li2Cd2Pb
_cell_length_a 8.1389
_cell_length_b 8.1389
_cell_length_c 3.1308
_cell_angle_alpha 90.00
_cell_angle_beta 90.00
_cell_angle_gamma 90.00
_symmetry_space_group_name_H-M 'P 4/m b m'
_symmetry_Int_Tables_number 127
_symmetry_space_group_name_Hall '-P 4 2ab'
loop_
_atom_site_label
_atom_site_type_symbol
_atom_site_fract_x
_atom_site_fract_y
_atom_site_fract_z
_atom_site_occupancy
Li1 Li 0.1696 0.3304 0.0000 1
Cd1 Cd 0.1267 0.6267 0.5000 1
Pb1 Pb 0.0000 0.0000 0.5000 1


Entry 3:
# Li2CdPb2, single point on PBEsol structure, DFT SCAN
# Size of the total moment: 0.000 μB/f.u.
# Calculated volume: 22.9 A^3/atom
# Mass density: 7.8 g/cm³
data_Li2CdPb2
_cell_length_a 8.0194
_cell_length_b 8.0194
_cell_length_c 3.5602
_cell_angle_alpha 90.00
_cell_angle_beta 90.00
_cell_angle_gamma 90.00
_symmetry_space_group_name_H-M 'P 4/m b m'
_symmetry_Int_Tables_number 127
_symmetry_space_group_name_Hall '-P 4 2ab'
loop_
_atom_site_label
_atom_site_type_symbol
_atom_site_fract_x
_atom_site_fract_y
_atom_site_fract_z
_atom_site_occupancy
Li1 Li 0.1562 0.3438 0.0000 1
Cd1 Cd 0.0000 0.0000 0.5000 1
Pb1 Pb 0.1436 0.6436 0.5000 1


Entry 4:
# Li2Cd2Pb, single point on PBEsol structure, DFT SCAN
# Size of the total moment: 0.000 μB/f.u.
# Calculated volume: 22.2 A^3/atom
# Mass density: 6.7 g/cm³
data_Li2Cd2Pb
_cell_length_a 3.9620
_cell_length_b 3.9620
_cell_length_c 14.1587
_cell_angle_alpha 90.00
_cell_angle_beta 90.00
_cell_angle_gamma 90.00
_symmetry_space_group_name_H-M 'I 4/m m m'
_symmetry_Int_Tables_number 139
_symmetry_space_group_name_Hall '-I 4 2'
loop_
_atom_site_label
_atom_site_type_symbol
_atom_site_fract_x
_atom_site_fract_y
_atom_site_fract_z
_atom_site_occupancy
Li1 Li 0.0000 0.5000 0.2500 1
Cd1 Cd 0.0000 0.0000 0.1081 1
Pb1 Pb 0.0000 0.0000 0.5000 1


Entry 5:
# LiCdPb, single point on PBEsol structure, DFT SCAN
# Size of the total moment: 0.000 μB/f.u.
# Calculated volume: 22.4 A^3/atom
# Mass density: 8.1 g/cm³
data_LiCdPb
_cell_length_a 3.3806
_cell_length_b 4.2947
_cell_length_c 9.2639
_cell_angle_alpha 90.00
_cell_angle_beta 90.00
_cell_angle_gamma 90.00
_symmetry_space_group_name_H-M 'I m m 2'
_symmetry_Int_Tables_number 44
_symmetry_space_group_name_Hall 'I 2 -2'
loop_
_atom_site_label
_atom_site_type_symbol
_atom_site_fract_x
_atom_site_fract_y
_atom_site_fract_z
_atom_site_occupancy
Li1 Li 0.0000 0.0000 0.0000 1
Cd1 Cd 0.0000 0.0000 0.3404 1
Pb1 Pb 0.0000 0.0000 0.6694 1


Entry 6:
# Li3CdPb, single point on PBEsol structure, DFT SCAN
# Size of the total moment: 0.000 μB/f.u.
# Calculated volume: 23.4 A^3/atom
# Mass density: 4.8 g/cm³
data_Li3CdPb
_cell_length_a 4.8911
_cell_length_b 4.8911
_cell_length_c 4.8911
_cell_angle_alpha 90.00
_cell_angle_beta 90.00
_cell_angle_gamma 90.00
_symmetry_space_group_name_H-M 'P m -3 m'
_symmetry_Int_Tables_number 221
_symmetry_space_group_name_Hall '-P 4 2 3'
loop_
_atom_site_label
_atom_site_type_symbol
_atom_site_fract_x
_atom_site_fract_y
_atom_site_fract_z
_atom_site_occupancy
Li1 Li 0.0000 0.0000 0.5000 1
Cd1 Cd 0.0000 0.0000 0.0000 1
Pb1 Pb 0.5000 0.5000 0.5000 1


The calculation returns the following formation energy values, one per record and in order: -0.166 -0.216 -0.248 -0.078 -0.208 0.028 eV/atom.